(1)
# HfSc2HgH

A crystal of HfSc2HgH relaxed with PBEsol (meta-GGA SCAN, the Alexandria database).

a b c (Å): 3.514 5.372 5.372
angles (deg): 90.00 90.00 90.00
Fractional coordinates of all 5 atoms:
1 Sc 0.000 0.000 0.500
2 Sc 0.000 0.500 0.000
3 H 0.500 0.000 0.000
4 Hf 0.000 0.000 0.000
5 Hg 0.500 0.500 0.500

Properties
As for the density of states at the Fermi level: 0.5935 states/eV/atom. As for the total moment: 0.0 μB per formula unit. The value obtained for the electronic total energy is -32.174 eV per atom.

---

(2)
# HfHI2

A crystal of HfHI2 relaxed with PBEsol (meta-GGA SCAN, the Alexandria database).

a b c (Å): 5.979 6.823 5.979
angles (deg): 64.02 90.00 115.98
Fractional coordinates of all 8 atoms:
1 I 0.190 0.750 0.875
2 I 0.560 0.750 0.375
3 I 0.375 0.250 0.190
4 I 0.875 0.250 0.560
5 H 0.250 0.500 0.250
6 H 0.500 0.000 0.500
7 Hf 0.750 0.500 0.750
8 Hf 0.000 0.000 0.000

Properties
As for the density of states at the Fermi level: 0.3622 states/eV/atom. As for the total moment: 0.0 μB per formula unit. The value obtained for the electronic total energy is -34.439 eV per atom.

---

(3)
# HfMg2HI

A crystal of HfMg2HI relaxed with PBEsol (meta-GGA SCAN, the Alexandria database).

a b c (Å): 5.206 5.591 5.591
angles (deg): 90.00 90.00 90.00
Site moments in Bohr magnetons follow the coordinates.
Fractional coordinates of all 5 atoms:
1 I 0.000 0.000 0.000  0.01
2 H 0.500 0.500 0.500  -0.23
3 Mg 0.000 0.000 0.500  0.00
4 Mg 0.000 0.500 0.000  0.00
5 Hf 0.500 0.000 0.000  -0.15

Properties
As for the density of states at the Fermi level: 0.7072 states/eV/atom. As for the total moment: 0.5 μB per formula unit. The value obtained for the electronic total energy is -20.901 eV per atom.

---

(4)
# HfHPb2I

A crystal of HfHPb2I relaxed with PBEsol (meta-GGA SCAN, the Alexandria database).

a b c (Å): 3.713 5.893 5.893
angles (deg): 90.00 90.00 90.00
Fractional coordinates of all 5 atoms:
1 Pb 0.000 0.000 0.500
2 Pb 0.000 0.500 0.000
3 I 0.500 0.500 0.500
4 Hf 0.000 0.000 0.000
5 H 0.500 0.000 0.000

Properties
As for the density of states at the Fermi level: 0.4435 states/eV/atom. As for the total moment: 0.0 μB per formula unit. The value obtained for the electronic total energy is -50.744 eV per atom.

---

(5)
# HfSb2HI

A crystal of HfSb2HI relaxed with PBEsol (meta-GGA SCAN, the Alexandria database).

a b c (Å): 5.458 5.458 5.695
angles (deg): 90.00 90.00 90.00
Site moments in Bohr magnetons follow the coordinates.
Fractional coordinates of all 5 atoms:
1 I 0.000 0.000 0.500  0.08
2 Sb 0.000 0.500 0.000  0.10
3 Sb 0.500 0.000 0.000  0.10
4 Hf 0.000 0.000 0.000  0.01
5 H 0.500 0.500 0.500  0.36

Properties
As for the density of states at the Fermi level: 0.7545 states/eV/atom. As for the total moment: 1.5 μB per formula unit. The value obtained for the electronic total energy is -34.901 eV per atom.

---

(6)
# Hf2ScInH

A crystal of Hf2ScInH relaxed with PBEsol (meta-GGA SCAN, the Alexandria database).

a b c (Å): 3.377 5.616 5.616
angles (deg): 90.00 90.00 90.00
Fractional coordinates of all 5 atoms:
1 Sc 0.500 0.500 0.500
2 H 0.500 0.000 0.000
3 Hf 0.000 0.000 0.500
4 Hf 0.000 0.500 0.000
5 In 0.000 0.000 0.000

Properties
As for the density of states at the Fermi level: 0.9511 states/eV/atom. As for the total moment: 0.0 μB per formula unit. The value obtained for the electronic total energy is -34.394 eV per atom.

---

(7)
# HfHIr3

A crystal of HfHIr3 relaxed with PBEsol (meta-GGA SCAN, the Alexandria database).

a b c (Å): 3.967 3.967 3.967
angles (deg): 90.00 90.00 90.00
Fractional coordinates of all 5 atoms:
1 H 0.000 0.000 0.000
2 Ir 0.000 0.500 0.000
3 Ir 0.000 0.000 0.500
4 Ir 0.500 0.000 0.000
5 Hf 0.500 0.500 0.500

Properties
As for the density of states at the Fermi level: 0.2101 states/eV/atom. As for the total moment: 0.0 μB per formula unit. The value obtained for the electronic total energy is -56.594 eV per atom.

---

(8)
# HfH3Ir

A crystal of HfH3Ir relaxed with PBEsol (meta-GGA SCAN, the Alexandria database).

a b c (Å): 3.518 3.518 3.518
angles (deg): 90.00 90.00 90.00
Fractional coordinates of all 5 atoms:
1 H 0.000 0.500 0.000
2 H 0.000 0.000 0.500
3 H 0.500 0.000 0.000
4 Ir 0.000 0.000 0.000
5 Hf 0.500 0.500 0.500

Properties
As for the density of states at the Fermi level: 0.3520 states/eV/atom. As for the total moment: 0.0 μB per formula unit. The value obtained for the electronic total energy is -28.986 eV per atom.

---

(9)
# HfSnHIr2

A crystal of HfSnHIr2 relaxed with PBEsol (meta-GGA SCAN, the Alexandria database).

a b c (Å): 4.788 4.788 5.270
angles (deg): 90.00 90.00 90.00
Site moments in Bohr magnetons follow the coordinates.
Fractional coordinates of all 5 atoms:
1 H 0.500 0.500 0.500  0.26
2 Ir 0.000 0.500 0.000  0.22
3 Ir 0.500 0.000 0.000  0.22
4 Hf 0.000 0.000 0.500  -0.42
5 Sn 0.000 0.000 0.000  -0.02

Properties
As for the density of states at the Fermi level: 0.6205 states/eV/atom. As for the total moment: 0.3 μB per formula unit. The value obtained for the electronic total energy is -46.643 eV per atom.

---

(10)
# LaHf3H

A crystal of LaHf3H relaxed with PBEsol (meta-GGA SCAN, the Alexandria database).

a b c (Å): 5.159 5.159 5.159
angles (deg): 90.00 90.00 90.00
Site moments in Bohr magnetons follow the coordinates.
Fractional coordinates of all 5 atoms:
1 H 0.500 0.500 0.500  -0.25
2 Hf 0.000 0.500 0.000  -0.21
3 Hf 0.000 0.000 0.500  -0.21
4 Hf 0.500 0.000 0.000  -0.21
5 La 0.000 0.000 0.000  -0.16

Properties
As for the density of states at the Fermi level: 1.3700 states/eV/atom. As for the total moment: 1.6 μB per formula unit. The value obtained for the electronic total energy is -44.631 eV per atom.

---

(11)
# LiHf3H

A crystal of LiHf3H relaxed with PBEsol (meta-GGA SCAN, the Alexandria database).

a b c (Å): 4.599 4.599 4.599
angles (deg): 90.00 90.00 90.00
Fractional coordinates of all 5 atoms:
1 H 0.500 0.500 0.500
2 Hf 0.000 0.500 0.000
3 Hf 0.000 0.000 0.500
4 Hf 0.500 0.000 0.000
5 Li 0.000 0.000 0.000

Properties
As for the density of states at the Fermi level: 1.3222 states/eV/atom. As for the total moment: 0.0 μB per formula unit. The value obtained for the electronic total energy is -37.169 eV per atom.

---

(12)
# LiHfSi2H

A crystal of LiHfSi2H relaxed with PBEsol (meta-GGA SCAN, the Alexandria database).

a b c (Å): 3.922 3.922 4.734
angles (deg): 90.00 90.00 90.00
Fractional coordinates of all 5 atoms:
1 H 0.500 0.500 0.500
2 Si 0.000 0.500 0.000
3 Si 0.500 0.000 0.000
4 Hf 0.000 0.000 0.500
5 Li 0.000 0.000 0.000

Properties
As for the density of states at the Fermi level: 0.3964 states/eV/atom. As for the total moment: 0.0 μB per formula unit. The value obtained for the electronic total energy is -16.736 eV per atom.

---

- The lowest electronic total energy belongs to which entry?
  HfHIr3

---

- Among the records above, which one has the highest total moment?
  LaHf3H

---

- Look up the density of states at the Fermi level of the seventh one.
  0.2101 states/eV/atom